Record 1
# GeSb2Mo

An optimized crystal structure of GeSb2Mo (GGA-PBE, Alexandria).

- Crystal system: cubic
- Spin magnetization: 0.84 μB per cell
- Energy above the lowest structure with this stoichiometry: 0.0 meV/atom

a b c (Å): 6.8974 6.8974 6.8974
angles (deg): 90.00 90.00 90.00
With the nearest neighbours (Å) after each atom.
Space group Fm-3m (No. 225)
One atom of each set of equivalent atoms:
Ge 0.0000 0.0000 0.0000 x4  8 Sb 2.99
Sb 0.2500 0.2500 0.2500 x8  4 Ge 2.99, 4 Mo 2.99
Mo 0.0000 0.0000 0.5000 x4  8 Sb 2.99


Record 2
# Tl2GaAgTe4

An optimized crystal structure of Tl2GaAgTe4 (GGA-PBE, Alexandria).

- Crystal system: triclinic
- Spin magnetization: 0.00 μB per cell
- Calculated total energy: -24.6 eV per formula unit

a b c (Å): 7.1563 7.1710 7.1884
angles (deg): 115.21 115.16 98.37
With the nearest neighbours (Å) after each atom.
Space group P1 (No. 1)
One atom of each set of equivalent atoms:
Tl 0.0000 0.0000 0.0000 x1  4 Te 3.46-3.47
Tl 0.2437 0.7441 0.4977 x1  4 Te 3.02-3.03
Ga 0.4933 0.4934 0.9983 x1  4 Te 2.64
Ag 0.7450 0.2441 0.4973 x1  4 Te 2.83
Te 0.1296 0.5461 0.9789 x1  1 Ga 2.64, 1 Ag 2.83
Te 0.4433 0.4240 0.5856 x1  1 Ga 2.64, 1 Ag 2.83
Te 0.5641 0.1489 0.0165 x1  1 Ga 2.64, 1 Ag 2.83
Te 0.8352 0.8549 0.4132 x1  1 Ga 2.64, 1 Ag 2.83


Record 3
# LaAlTc2

An optimized crystal structure of LaAlTc2 (GGA-PBE, Alexandria).

- E_form: -0.176 eV/atom
- Crystal system: trigonal
- Spin magnetization: 0.00 μB per cell

a b c (Å): 4.2760 4.2760 16.5977
angles (deg): 90.00 90.00 120.00
With the nearest neighbours (Å) after each atom.
Space group R3m (No. 160, hexagonal axes)
One atom of each set of equivalent atoms:
La 0.0000 0.0000 0.0000 x3  7 Tc 3.26-3.58, 4 Al 3.32
Al 0.0000 0.0000 0.8002 x3  6 Tc 2.57-2.74
Tc 0.0000 0.0000 0.2051 x3  3 Tc 2.51, 3 Al 2.74
Tc 0.0000 0.0000 0.5103 x3  3 Tc 2.51, 3 Al 2.57


Record 4
# Ba2NaPb6

An optimized crystal structure of Ba2NaPb6 (GGA-PBE, Alexandria).

- E_form: -0.336 eV/atom
- Crystal system: trigonal
- Spin magnetization: 0.00 μB per cell

a b c (Å): 7.2973 7.2973 6.7691
angles (deg): 90.00 90.00 120.00
With the nearest neighbours (Å) after each atom.
Space group P-3m1 (No. 164)
One atom of each set of equivalent atoms:
Ba 0.3333 0.6667 0.3295 x2  12 Pb 3.81-3.92
Na 0.0000 0.0000 0.5000 x1  6 Pb 3.21
Pb 0.1807 0.3613 0.8329 x6  1 Na 3.21, 4 Pb 3.21-3.34


Record 5
# PRu2O

An optimized crystal structure of PRu2O (GGA-PBE, Alexandria).

- Crystal system: cubic
- Spin magnetization: 0.00 μB per cell
- Energy above the lowest structure with this stoichiometry: 93.7 meV/atom

a b c (Å): 5.6917 5.6917 5.6917
angles (deg): 90.00 90.00 90.00
With the nearest neighbours (Å) after each atom.
Space group Fm-3m (No. 225)
One atom of each set of equivalent atoms:
P 0.0000 0.0000 0.0000 x4  8 Ru 2.46
Ru 0.2500 0.2500 0.2500 x8  4 O 2.46, 4 P 2.46
O 0.0000 0.0000 0.5000 x4  8 Ru 2.46


Record 6
# La3Pm6Dy2Th

An optimized crystal structure of La3Pm6Dy2Th (GGA-PBE, Alexandria).

- E_form: 0.027 eV/atom
- Crystal system: monoclinic
- Spin magnetization: 0.00 μB per cell

a b c (Å): 6.3094 10.9211 12.1533
angles (deg): 90.00 99.96 90.00
With the nearest neighbours (Å) after each atom.
Space group C2/m (No. 12)
One atom of each set of equivalent atoms:
La 0.0000 0.0000 0.0000 x2  6 La 3.64, 6 Pm 3.71-3.73
La 0.0000 0.3333 0.0000 x4  6 La 3.64, 6 Pm 3.71-3.73
Pm 0.2462 0.3351 0.7436 x8  1 Th 3.58, 2 Dy 3.60, 6 Pm 3.60-3.66, 3 La 3.71-3.73
Pm 0.2486 0.5000 0.2559 x4  1 Th 3.59, 6 Pm 3.60-3.66, 2 Dy 3.61, 3 La 3.71-3.73
Dy 0.0000 0.1666 0.5000 x4  6 Pm 3.60-3.61, 3 Dy 3.64, 3 Th 3.64
Th 0.0000 0.5000 0.5000 x2  6 Pm 3.58-3.59, 6 Dy 3.64


Record 7
# Sb2PbAu

An optimized crystal structure of Sb2PbAu (GGA-PBE, Alexandria).

- Crystal system: tetragonal
- Spin magnetization: 0.00 μB per cell
- Calculated total energy: -14.9 eV per formula unit

a b c (Å): 3.8991 3.8991 7.1366
angles (deg): 90.00 90.00 90.00
With the nearest neighbours (Å) after each atom.
Space group P4mm (No. 99)
One atom of each set of equivalent atoms:
Sb 0.0000 0.0000 0.0000 x1  4 Sb 3.07, 1 Au 3.08
Sb 0.5000 0.5000 0.1897 x1  4 Sb 3.07, 1 Pb 3.22, 4 Au 3.25
Pb 0.5000 0.5000 0.6404 x1  4 Au 3.13, 1 Sb 3.22
Au 0.0000 0.0000 0.4316 x1  5 Sb 3.08-3.25, 4 Pb 3.13


Record 8
# AgOsW2

An optimized crystal structure of AgOsW2 (GGA-PBE, Alexandria).

- E_form: 0.395 eV/atom
- Crystal system: orthorhombic
- Spin magnetization: 0.00 μB per cell
- Energy above the lowest structure with this stoichiometry: 33.5 meV/atom

a b c (Å): 2.8178 4.0060 5.6474
angles (deg): 90.00 90.00 90.00
With the nearest neighbours (Å) after each atom.
Space group Pmmm (No. 47)
One atom of each set of equivalent atoms:
Ag 0.0000 0.0000 0.0000 x1  2 Ag 2.82, 2 Os 2.82, 8 W 2.89
Os 0.0000 0.0000 0.5000 x1  8 W 2.77, 2 Os 2.82, 2 Ag 2.82
W 0.5000 0.5000 0.2719 x2  3 W 2.58-2.82, 4 Os 2.77


Record 9
# TlZn2CoCu

An optimized crystal structure of TlZn2CoCu (GGA-PBE, Alexandria).

- E_form: 0.591 eV/atom
- Crystal system: tetragonal
- Spin magnetization: 0.00 μB per cell

a b c (Å): 4.5721 4.5721 4.9335
angles (deg): 90.00 90.00 90.00
With the nearest neighbours (Å) after each atom.
Space group P4/mmm (No. 123)
One atom of each set of equivalent atoms:
Tl 0.0000 0.0000 0.0000 x1  2 Co 2.47
Zn 0.0000 0.5000 0.5000 x2  2 Co 2.29
Co 0.0000 0.0000 0.5000 x1  4 Zn 2.29, 2 Tl 2.47
Cu 0.5000 0.5000 0.0000 x1  4 Tl 3.23, 8 Zn 3.36


Record 10
# Tb2ZrSe2N2

An optimized crystal structure of Tb2ZrSe2N2 (GGA-PBE, Alexandria).

- Crystal system: tetragonal
- Spin magnetization: 0.00 μB per cell
- Calculated total energy: -52.5 eV per formula unit

a b c (Å): 4.2287 4.2287 14.8491
angles (deg): 90.00 90.00 90.00
With the nearest neighbours (Å) after each atom.
Space group I4/mmm (No. 139)
One atom of each set of equivalent atoms:
Tb 0.0000 0.0000 0.1110 x4  4 N 2.68
Zr 0.0000 0.0000 0.5000 x2  4 N 2.11
Se 0.0000 0.0000 0.3163 x4  1 Zr 2.73, 1 Tb 3.05
N 0.0000 0.5000 0.0000 x4  2 Zr 2.11


Record 11
# CrPI2N

An optimized crystal structure of CrPI2N (GGA-PBE, Alexandria).

- Crystal system: tetragonal
- Spin magnetization: 0.24 μB per cell
- Energy above the lowest structure with this stoichiometry: 505.6 meV/atom

a b c (Å): 5.6086 5.6086 3.3641
angles (deg): 90.00 90.00 90.00
With the nearest neighbours (Å) after each atom.
Space group P4/mmm (No. 123)
One atom of each set of equivalent atoms:
Cr 0.0000 0.0000 0.0000 x1  8 I 3.27, 2 Cr 3.36
P 0.5000 0.5000 0.5000 x1  2 N 1.68
I 0.0000 0.5000 0.5000 x2  2 P 2.80
N 0.5000 0.5000 0.0000 x1  2 P 1.68


Record 12
# RuRh

An optimized crystal structure of RuRh (GGA-PBE, Alexandria).

- E_form: 0.787 eV/atom
- Crystal system: hexagonal
- Spin magnetization: 0.01 μB per cell

a b c (Å): 3.8085 3.8085 5.2612
angles (deg): 90.00 90.00 120.00
With the nearest neighbours (Å) after each atom.
Space group P6_3/mmc (No. 194)
One atom of each set of equivalent atoms:
Ru 0.0000 0.0000 0.0000 x2  6 Rh 2.56, 2 Ru 2.63
Rh 0.3333 0.6667 0.2500 x2  6 Ru 2.56


Record 13
# Ba2LaAu

An optimized crystal structure of Ba2LaAu (GGA-PBE, Alexandria).

- E_form: -0.037 eV/atom
- Crystal system: orthorhombic
- Spin magnetization: 0.00 μB per cell
- Energy above the lowest structure with this stoichiometry: 284.8 meV/atom

a b c (Å): 7.9820 9.2385 4.1422
angles (deg): 90.00 90.00 90.00
With the nearest neighbours (Å) after each atom.
Space group Cmmm (No. 65)
One atom of each set of equivalent atoms:
Ba 0.2500 0.2500 0.0000 x4  4 La 3.69, 4 Au 3.69, 2 Ba 3.99
La 0.0000 0.0000 0.5000 x2  8 Ba 3.69, 2 Au 3.99
Au 0.0000 0.5000 0.5000 x2  8 Ba 3.69, 2 La 3.99


Record 14
# HgMoAs2

An optimized crystal structure of HgMoAs2 (GGA-PBE, Alexandria).

- E_form: -0.010 eV/atom
- Crystal system: monoclinic
- Spin magnetization: 0.00 μB per cell

a b c (Å): 16.6354 3.1923 3.1921
angles (deg): 90.00 100.89 90.00
With the nearest neighbours (Å) after each atom.
Space group Cm (No. 8)
One atom of each set of equivalent atoms:
Hg 0.0000 0.0000 0.0000 x2  1 As 2.88, 4 Hg 3.19
Mo 0.2637 0.5000 0.7628 x2  8 As 2.67
As 0.1763 0.0000 0.1766 x2  4 Mo 2.67, 1 As 2.86, 1 Hg 2.88
As 0.3511 0.0000 0.3485 x2  4 Mo 2.67, 1 As 2.86


Record 15
# Y6TlHg5

An optimized crystal structure of Y6TlHg5 (GGA-PBE, Alexandria).

- E_form: -0.489 eV/atom
- Crystal system: orthorhombic
- Spin magnetization: 0.00 μB per cell

a b c (Å): 5.2815 15.8791 7.4934
angles (deg): 90.00 90.00 90.00
With the nearest neighbours (Å) after each atom.
Space group Cmmm (No. 65)
One atom of each set of equivalent atoms:
Y 0.0000 0.0000 0.2465 x4  6 Hg 3.22-3.27, 2 Tl 3.25
Y 0.0000 0.3317 0.2478 x8  7 Hg 3.22-3.25, 1 Tl 3.27
Tl 0.0000 0.5000 0.5000 x2  8 Y 3.25-3.27
Hg 0.0000 0.1659 0.0000 x4  8 Y 3.22-3.23
Hg 0.0000 0.1679 0.5000 x4  8 Y 3.22-3.27
Hg 0.0000 0.5000 0.0000 x2  8 Y 3.22-3.25


Record 16
# ScFe6Ge4

An optimized crystal structure of ScFe6Ge4 (GGA-PBE, Alexandria).

- E_form: -0.001 eV/atom
- Crystal system: tetragonal
- Spin magnetization: 21.19 μB per cell

a b c (Å): 6.1859 6.1859 8.6558
angles (deg): 90.00 90.00 90.00
With the nearest neighbours (Å) after each atom.
Space group I-42m (No. 121)
One atom of each set of equivalent atoms:
Sc 0.0000 0.0000 0.0000 x2  8 Ge 3.03-3.27, 8 Fe 3.09-3.10
Fe 0.0000 0.5000 0.0000 x4  4 Fe 2.46, 4 Ge 2.74
Fe 0.1569 0.1569 0.5901 x8  4 Ge 2.28-2.42, 4 Fe 2.46-2.49
Ge 0.2059 0.2059 0.3146 x8  4 Fe 2.28-2.42


Record 17
# MgSeN2F

An optimized crystal structure of MgSeN2F (GGA-PBE, Alexandria).

- Crystal system: tetragonal
- Spin magnetization: 0.00 μB per cell
- Energy above the lowest structure with this stoichiometry: 0.0 meV/atom

a b c (Å): 3.8891 3.8891 4.1299
angles (deg): 90.00 90.00 90.00
With the nearest neighbours (Å) after each atom.
Space group P4/mmm (No. 123)
One atom of each set of equivalent atoms:
Mg 0.0000 0.0000 0.0000 x1  4 F 2.75, 8 N 2.84
Se 0.5000 0.5000 0.5000 x1  4 N 1.94, 2 F 2.06
N 0.0000 0.5000 0.5000 x2  2 Se 1.94
F 0.5000 0.5000 0.0000 x1  2 Se 2.06


Record 18
# BeHgPb2

An optimized crystal structure of BeHgPb2 (GGA-PBE, Alexandria).

- E_form: 0.535 eV/atom
- Crystal system: cubic
- Spin magnetization: 0.00 μB per cell
- Energy above the lowest structure with this stoichiometry: 223.7 meV/atom

a b c (Å): 7.4269 7.4269 7.4269
angles (deg): 90.00 90.00 90.00
With the nearest neighbours (Å) after each atom.
Space group F-43m (No. 216)
One atom of each set of equivalent atoms:
Be 0.0000 0.0000 0.0000 x4  4 Pb 3.22, 4 Hg 3.22
Hg 0.2500 0.2500 0.2500 x4  4 Be 3.22, 4 Pb 3.22
Pb 0.0000 0.0000 0.5000 x4  4 Hg 3.22, 4 Pb 3.22
Pb 0.2500 0.2500 0.7500 x4  4 Pb 3.22, 4 Be 3.22


Record 19
# Sr2BeNi

An optimized crystal structure of Sr2BeNi (GGA-PBE, Alexandria).

- E_form: 0.121 eV/atom
- Crystal system: monoclinic
- Spin magnetization: 0.00 μB per cell

a b c (Å): 15.2290 3.9809 4.2362
angles (deg): 90.00 106.07 90.00
With the nearest neighbours (Å) after each atom.
Space group Cm (No. 8)
One atom of each set of equivalent atoms:
Sr 0.0000 0.0000 0.0000 x2  2 Be 3.07, 4 Ni 3.24
Sr 0.2417 0.5000 0.2407 x2  2 Ni 2.99, 4 Be 3.19
Be 0.1516 0.0000 0.6510 x2  2 Ni 2.14
Ni 0.0975 0.5000 0.5974 x2  2 Be 2.14


Record 20
# Li2Ce3Ir3

An optimized crystal structure of Li2Ce3Ir3 (GGA-PBE, Alexandria).

- E_form: -0.541 eV/atom
- Crystal system: hexagonal
- Spin magnetization: 0.00 μB per cell

a b c (Å): 8.2718 8.2718 5.5978
angles (deg): 90.00 90.00 120.00
With the nearest neighbours (Å) after each atom.
Space group P6_3/mcm (No. 193)
One atom of each set of equivalent atoms:
Li 0.3333 0.6667 0.0000 x4  2 Li 2.80, 6 Ir 2.96
Ce 0.0000 0.2789 0.2500 x6  5 Ir 2.78-2.90
Ir 0.0000 0.3725 0.7500 x6  5 Ce 2.78-2.90, 4 Li 2.96